{
  "formula": "LaDyTe2O",
  "functional": "PBE",
  "state": "relaxed",
  "crystal_system": "tetragonal",
  "space_group": "P4/nmm",
  "total_energy_ev_per_atom": -6.30,
  "formation_energy_uncorrected_ev_per_fu": -10.71,
  "lattice": [[-1.4653, 1.4110, 3.7474], [2.7529, -2.5428, 2.0339], [10.7383, 11.5157, -0.1370]],
  "species": ["Te", "Te", "Te", "Te", "Dy", "Dy", "O", "O", "La", "La"],
  "fractional_positions": [[0.0000, 0.5000, 0.6926], [0.5000, 0.0000, 0.3074], [0.5000, 0.0000, 0.9141], [0.0000, 0.5000, 0.0859], [0.0000, 0.5000, 0.8737], [0.5000, 0.0000, 0.1263], [0.0000, 0.0000, 0.5000], [0.5000, 0.5000, 0.5000], [0.0000, 0.5000, 0.4271], [0.5000, 0.0000, 0.5729]]
}